# 1
The following is a GGA-PBE calculation of a relaxed structure of La6CoI12, from the Alexandria database.

Properties
Its final energy is -229.660 eV per cell. As for the formation energy from raw total energies: -1.120 eV/atom.

Structure (CIF):
```
data_La6CoI12
_cell_length_a 11.3658
_cell_length_b 11.3658
_cell_length_c 19.7435
_cell_angle_alpha 90.00
_cell_angle_beta 90.00
_cell_angle_gamma 120.00
_space_group_name_H-M_alt 'R -3 m'
_space_group_IT_number 166
_space_group_name_Hall '-R 3 2"'
loop_
_atom_site_label
_atom_site_type_symbol
_atom_site_fract_x
_atom_site_fract_y
_atom_site_fract_z
La1 La 0.0671 0.5336 0.2535
Co1 Co 0.0000 0.0000 0.5000
I1 I 0.0308 0.5154 0.9025
I2 I 0.0849 0.5425 0.5922
```


# 2
The following is a GGA-PBE calculation of a relaxed structure of La7CoI12, from the Alexandria database.

Properties
Its final energy is -258.897 eV per cell. As for the formation energy from raw total energies: -1.305 eV/atom.

Structure (CIF):
```
data_La7CoI12
_cell_length_a 16.3065
_cell_length_b 16.3065
_cell_length_c 11.2123
_cell_angle_alpha 90.00
_cell_angle_beta 90.00
_cell_angle_gamma 120.00
_space_group_name_H-M_alt 'R 3'
_space_group_IT_number 146
_space_group_name_Hall 'R 3'
loop_
_atom_site_label
_atom_site_type_symbol
_atom_site_fract_x
_atom_site_fract_y
_atom_site_fract_z
La1 La 0.0000 0.0000 0.9998
La2 La 0.0416 0.8830 0.3777
La3 La 0.1561 0.0410 0.6667
Co1 Co 0.0000 0.0000 0.5187
I1 I 0.0208 0.4339 0.1796
I2 I 0.0510 0.8622 0.8570
I3 I 0.1025 0.7486 0.1948
I4 I 0.1750 0.0470 0.1774
```


# 3
The following is a GGA-PBE calculation of a relaxed structure of La2MnCoI, from the Alexandria database.

Properties
Its final energy is -24.761 eV per cell. As for the formation energy from raw total energies: 0.584 eV/atom.

Structure (CIF):
```
data_La2MnCoI
_cell_length_a 5.2639
_cell_length_b 5.2639
_cell_length_c 4.8481
_cell_angle_alpha 90.00
_cell_angle_beta 90.00
_cell_angle_gamma 90.00
_space_group_name_H-M_alt 'P 4/m m m'
_space_group_IT_number 123
_space_group_name_Hall '-P 4 2'
loop_
_atom_site_label
_atom_site_type_symbol
_atom_site_fract_x
_atom_site_fract_y
_atom_site_fract_z
La1 La 0.0000 0.5000 0.0000
Mn1 Mn 0.0000 0.0000 0.5000
Co1 Co 0.5000 0.5000 0.0000
I1 I 0.5000 0.5000 0.5000
```


# 4
The following is a GGA-PBE calculation of a relaxed structure of La4CoI2N, from the Alexandria database.

Properties
Its final energy is -45.680 eV per cell. As for the formation energy from raw total energies: -0.930 eV/atom.

Structure (CIF):
```
data_La4CoI2N
_cell_length_a 7.1809
_cell_length_b 3.8861
_cell_length_c 8.4493
_cell_angle_alpha 90.00
_cell_angle_beta 107.34
_cell_angle_gamma 90.00
_space_group_name_H-M_alt 'P 1 2/m 1'
_space_group_IT_number 10
loop_
_space_group_symop_operation_xyz
'x,y,z'
'-x,-y,-z'
'-x,y,-z'
'x,-y,z'
loop_
_atom_site_label
_atom_site_type_symbol
_atom_site_fract_x
_atom_site_fract_y
_atom_site_fract_z
La1 La 0.1946 0.0000 0.1771
La2 La 0.2769 0.5000 0.8240
Co1 Co 0.5000 0.0000 0.0000
I1 I 0.0000 0.0000 0.5000
I2 I 0.5000 0.5000 0.5000
N1 N 0.0000 0.5000 0.0000
```


# 5
The following is a GGA-PBE calculation of a relaxed structure of La6Co2I3N, from the Alexandria database.

Properties
Its final energy is -134.227 eV per cell. As for the formation energy from raw total energies: -0.863 eV/atom.

Structure (CIF):
```
data_La6Co2I3N
_cell_length_a 6.9796
_cell_length_b 12.2218
_cell_length_c 8.4790
_cell_angle_alpha 90.00
_cell_angle_beta 105.75
_cell_angle_gamma 90.00
_space_group_name_H-M_alt 'C 1 2/m 1'
_space_group_IT_number 12
loop_
_space_group_symop_operation_xyz
'x,y,z'
'-x,-y,-z'
'-x,y,-z'
'x,-y,z'
'x+1/2,y+1/2,z'
'-x+1/2,-y+1/2,-z'
'-x+1/2,y+1/2,-z'
'x+1/2,-y+1/2,z'
loop_
_atom_site_label
_atom_site_type_symbol
_atom_site_fract_x
_atom_site_fract_y
_atom_site_fract_z
La1 La 0.2211 0.1591 0.1755
La2 La 0.2442 0.5000 0.1774
Co1 Co 0.0000 0.3340 0.0000
I1 I 0.0000 0.1705 0.5000
I2 I 0.0000 0.5000 0.5000
N1 N 0.0000 0.0000 0.0000
```


# 6
The following is a GGA-PBE calculation of a relaxed structure of LaCoIN2, from the Alexandria database.

Properties
Its final energy is -25.115 eV per cell. Its energy above the most stable polymorph in this dataset is 467 meV/atom. As for the formation energy from raw total energies: 1.024 eV/atom.

Structure (CIF):
```
data_LaCoIN2
_cell_length_a 4.2643
_cell_length_b 4.2643
_cell_length_c 6.9028
_cell_angle_alpha 90.00
_cell_angle_beta 90.00
_cell_angle_gamma 90.00
_space_group_name_H-M_alt 'P 4/m m m'
_space_group_IT_number 123
_space_group_name_Hall '-P 4 2'
loop_
_atom_site_label
_atom_site_type_symbol
_atom_site_fract_x
_atom_site_fract_y
_atom_site_fract_z
La1 La 0.0000 0.0000 0.0000
Co1 Co 0.5000 0.5000 0.5000
I1 I 0.0000 0.0000 0.5000
N1 N 0.0000 0.5000 0.0000
```


# 7
The following is a GGA-PBE calculation of a relaxed structure of La8Co3I3N, from the Alexandria database.

Properties
Its final energy is -167.020 eV per cell. As for the formation energy from raw total energies: -0.653 eV/atom.

Structure (CIF):
```
data_La8Co3I3N
_cell_length_a 14.5146
_cell_length_b 7.8440
_cell_length_c 9.5304
_cell_angle_alpha 90.00
_cell_angle_beta 120.08
_cell_angle_gamma 90.00
_space_group_name_H-M_alt 'C 1 2/m 1'
_space_group_IT_number 12
loop_
_space_group_symop_operation_xyz
'x,y,z'
'-x,-y,-z'
'-x,y,-z'
'x,-y,z'
'x+1/2,y+1/2,z'
'-x+1/2,-y+1/2,-z'
'-x+1/2,y+1/2,-z'
'x+1/2,-y+1/2,z'
loop_
_atom_site_label
_atom_site_type_symbol
_atom_site_fract_x
_atom_site_fract_y
_atom_site_fract_z
La1 La 0.0131 0.2364 0.3261
La2 La 0.2282 0.0000 0.6757
La3 La 0.2357 0.5000 0.6814
Co1 Co 0.0000 0.5000 0.5000
Co2 Co 0.2500 0.2500 0.5000
I1 I 0.0000 0.0000 0.0000
I2 I 0.2500 0.2500 0.0000
N1 N 0.0000 0.0000 0.5000
```


# 8
The following is a GGA-PBE calculation of a relaxed structure of LaCoIN2, from the Alexandria database.

Properties
Its final energy is -27.448 eV per cell. Its energy above the most stable polymorph in this dataset is 0 meV/atom. As for the formation energy from raw total energies: 0.557 eV/atom.

Structure (CIF):
```
data_LaCoIN2
_cell_length_a 4.2129
_cell_length_b 4.2129
_cell_length_c 4.8572
_cell_angle_alpha 90.00
_cell_angle_beta 90.00
_cell_angle_gamma 90.00
_space_group_name_H-M_alt 'P 4/m m m'
_space_group_IT_number 123
_space_group_name_Hall '-P 4 2'
loop_
_atom_site_label
_atom_site_type_symbol
_atom_site_fract_x
_atom_site_fract_y
_atom_site_fract_z
La1 La 0.0000 0.0000 0.0000
Co1 Co 0.5000 0.5000 0.5000
I1 I 0.5000 0.5000 0.0000
N1 N 0.0000 0.5000 0.5000
```


> Number 5 is which compound?

La6Co2I3N


> Which value of formation energy from raw total energies does entry 4 give?

-0.930 eV/atom